Below is crystalline PCl3 at its relaxed geometry, with properties calculated at the PBE-GGA level.

Unit cell a=3.0770 b=3.0770 c=9.4612 alpha=90.00 beta=90.00 gamma=90.00
Space group P4/mmm (No. 123)
Inequivalent atoms, fractional coordinates:
P  0.0000  0.0000  0.0000
Cl  0.0000  0.0000  0.5000
Cl  0.5000  0.5000  0.1674

## Properties
final energy: -2.259 eV/atom
formation energy from raw total energies: 478 meV per atom
N(E_F): 2.18 states/eV per cell

Below is crystalline P2Cl at its relaxed geometry, with properties calculated at the PBE-GGA level.

Unit cell a=13.3498 b=3.2806 c=9.1363 alpha=90.00 beta=123.60 gamma=90.00
Space group Cm (No. 8)
Inequivalent atoms, fractional coordinates:
P  0.0000  0.0000  0.0000
P  0.0248  0.0000  0.2599
P  0.0997  0.5000  0.9826
P  0.3933  0.0000  0.2154
Cl  0.3130  0.0000  0.8456
Cl  0.4430  0.0000  0.4775

## Properties
final energy: -4.240 eV/atom
formation energy from raw total energies: -17 meV per atom
energy relative to the lowest polymorph listed for this composition: 196 meV per atom
N(E_F): 0.14 states/eV per cell

Below is crystalline PCl3 at its relaxed geometry, with properties calculated at the PBE-GGA level.

Unit cell a=3.3437 b=6.8503 c=9.9638 alpha=90.00 beta=90.00 gamma=90.00
Space group Cmmm (No. 65)
Inequivalent atoms, fractional coordinates:
P  0.0000  0.0000  0.0000
Cl  0.0000  0.0000  0.5000
Cl  0.0000  0.5000  0.1697

## Properties
final energy: -2.533 eV/atom
formation energy from raw total energies: 204 meV per atom
N(E_F): 4.47 states/eV per cell

Below is crystalline P4Cl at its relaxed geometry, with properties calculated at the PBE-GGA level.

Unit cell a=5.7132 b=5.7132 c=5.7132 alpha=90.00 beta=90.00 gamma=90.00
Space group Im-3m (No. 229)
Inequivalent atoms, fractional coordinates:
P  0.2500  0.2500  0.2500
Cl  0.0000  0.0000  0.0000

## Properties
final energy: -3.449 eV/atom
formation energy from raw total energies: 1249 meV per atom
energy relative to the lowest polymorph listed for this composition: 0 meV per atom
N(E_F): 7.29 states/eV per cell